1.
VASP calculation (PBE) on crystalline Mg2InAu8 at its relaxed geometry.

It has space group Immm (No. 71), with a = 4.545 Å, b = 6.756 Å, c = 13.483 Å, α = 90.00°, β = 90.00° and γ = 90.00°. The asymmetric unit holds Mg at (0.000, 0.000, 0.194), In at (0.000, 0.000, 0.500), Au at (0.000, 0.212, 0.000), Au at (0.000, 0.287, 0.356) and Au at (0.000, 0.500, 0.170).

The energy of formation comes out at -0.29 eV/atom. The value obtained for the energy above the lowest structure with this stoichiometry is 0 meV per atom.

***

2.
VASP calculation (PBE) on crystalline ZrPd2AuS at its relaxed geometry.

It has space group P4/mmm (No. 123), with a = 4.481 Å, b = 4.481 Å, c = 4.820 Å, α = 90.00°, β = 90.00° and γ = 90.00°. The asymmetric unit holds Zr at (0.000, 0.000, 0.000), Pd at (0.000, 0.500, 0.500), Au at (0.500, 0.500, 0.000) and S at (0.500, 0.500, 0.500).

The formation energy from raw total energies comes out at 0.36 eV/f.u.

***

3.
VASP calculation (PBE) on crystalline Tb6Sm12Th at its relaxed geometry.

It has space group R-3 (No. 148, hexagonal axes), with a = 12.1159 Å, b = 12.1159 Å, c = 15.1877 Å, α = 90.00°, β = 90.00° and γ = 120.00°. The asymmetric unit holds Tb at (0.0152, 0.4274, 0.1833), Sm at (0.0100, 0.8351, 0.6896), Sm at (0.0479, 0.8532, 0.9153) and Th at (0.0000, 0.0000, 0.5000).

The energy of formation comes out at 0.13 eV/atom. The value obtained for the energy above the lowest structure with this stoichiometry is 7 meV per atom.

***

4.
VASP calculation (PBE) on crystalline BeRe4Ir at its relaxed geometry.

It has space group F-43m (No. 216), with a = 7.230 Å, b = 7.230 Å, c = 7.230 Å, α = 90.00°, β = 90.00° and γ = 90.00°. The asymmetric unit holds Be at (0.000, 0.000, 0.000), Re at (0.126, 0.126, 0.374) and Ir at (0.250, 0.250, 0.750).

The energy of formation comes out at 0.69 eV/atom.

***

5.
VASP calculation (PBE) on crystalline BaMn5 at its relaxed geometry.

It has space group F-43m (No. 216), with a = 7.817 Å, b = 7.817 Å, c = 7.817 Å, α = 90.00°, β = 90.00° and γ = 90.00°. The asymmetric unit holds Ba at (0.000, 0.000, 0.000), Mn at (0.121, 0.121, 0.379) and Mn at (0.250, 0.250, 0.750).

The energy of formation comes out at 0.82 eV/atom.

***

6.
VASP calculation (PBE) on crystalline BaSI2O at its relaxed geometry.

It has space group P4/mmm (No. 123), with a = 7.001 Å, b = 7.001 Å, c = 4.520 Å, α = 90.00°, β = 90.00° and γ = 90.00°. The asymmetric unit holds Ba at (0.000, 0.000, 0.000), S at (0.500, 0.500, 0.500), I at (0.000, 0.500, 0.000) and O at (0.000, 0.000, 0.500).

The formation energy from raw total energies comes out at -0.58 eV/f.u. The value obtained for the energy above the lowest structure with this stoichiometry is 464 meV per atom.

***

7.
VASP calculation (PBE) on crystalline TaBe3 at its relaxed geometry.

It has space group Pm-3m (No. 221), with a = 4.766 Å, b = 4.766 Å, c = 4.766 Å, α = 90.00°, β = 90.00° and γ = 90.00°. The asymmetric unit holds Ta at (0.000, 0.000, 0.000) and Be at (0.000, 0.000, 0.500).

The energy of formation comes out at 2.39 eV/atom.

***

8.
VASP calculation (PBE) on crystalline LiHfPaN3 at its relaxed geometry.

It has space group P2_1/m (No. 11), with a = 6.757 Å, b = 3.240 Å, c = 6.865 Å, α = 90.00°, β = 103.78° and γ = 90.00°. The asymmetric unit holds Li at (0.088, 0.250, 0.083), Hf at (0.322, 0.750, 0.337), Pa at (0.277, 0.750, 0.809), N at (0.008, 0.250, 0.794), N at (0.337, 0.250, 0.568) and N at (0.374, 0.250, 0.120).

The formation energy from raw total energies comes out at -7.94 eV/f.u.

***

9.
VASP calculation (PBE) on crystalline CaInPb4 at its relaxed geometry.

It has space group F-43m (No. 216), with a = 9.229 Å, b = 9.229 Å, c = 9.229 Å, α = 90.00°, β = 90.00° and γ = 90.00°. The asymmetric unit holds Ca at (0.000, 0.000, 0.000), In at (0.250, 0.250, 0.750) and Pb at (0.126, 0.126, 0.374).

The energy of formation comes out at -0.07 eV/atom. The value obtained for the energy above the lowest structure with this stoichiometry is 96 meV per atom.

***

| no. | V (A^3/atom) | N(E_F) (states/eV/cell) |
| --- | --- | --- |
| 1 | 18.82 | 5.26 |
| 2 | 19.36 | 4.75 |
| 3 | 33.87 | 91.61 |
| 4 | 15.75 | 22.54 |
| 5 | 19.90 | 24.14 |
| 6 | 44.30 | 4.99 |
| 7 | 27.06 | 4.12 |
| 8 | 12.16 | 5.18 |
| 9 | 32.75 | 16.72 |